[1]
Entry from the Alexandria database: a relaxed CaSc2Ga2 crystal (PBE).

Computed properties:
Polymorph energy (0 for the lowest one) in kJ/mol of formula units: 0.0
Energy of formation in eV per atom: -0.346
Theoretical density in kg/m³: 3728
E in eV per atom: -4.490

Unit cell a=4.4110 b=4.4110 c=6.9116 alpha=71.39 beta=71.39 gamma=90.00
Closest atoms and distances in Å follow each position.
Fractional positions:
Sc  0.7500  0.2500  0.5000  4 Ga 2.86, 4 Sc 3.12
Sc  0.2500  0.7500  0.5000  4 Ga 2.86, 4 Sc 3.12
Ga  0.3982  0.3982  0.2035  1 Ga 2.51
Ga  0.6018  0.6018  0.7965  1 Ga 2.51
Ca  0.0000  0.0000  0.0000  8 Ga 3.36

=====

[2]
Entry from the Alexandria database: a relaxed CaScGa crystal (PBE).

Computed properties:
Polymorph energy (0 for the lowest one) in kJ/mol of formula units: 59.3
Energy of formation in eV per atom: -0.196
Theoretical density in kg/m³: 3047
E in eV per atom: -3.982

Unit cell a=4.8171 b=4.8171 c=7.2701 alpha=90.00 beta=90.00 gamma=90.00
Closest atoms and distances in Å follow each position.
Fractional positions:
Ga  0.5000  0.5000  0.5000  4 Sc 2.72
Ga  0.0000  0.0000  0.5000  4 Sc 2.72
Sc  0.5000  0.0000  0.6748  4 Ga 2.72
Sc  0.0000  0.5000  0.3252  4 Ga 2.72
Ca  0.0000  0.5000  0.8122  4 Ga 3.31, 5 Sc 3.54-3.55
Ca  0.5000  0.0000  0.1878  4 Ga 3.31, 5 Sc 3.54-3.55

=====

[3]
Entry from the Alexandria database: a relaxed CaScGa crystal (PBE).

Computed properties:
Polymorph energy (0 for the lowest one) in kJ/mol of formula units: 67.6
Energy of formation in eV per atom: -0.167
Theoretical density in kg/m³: 3081
E in eV per atom: -3.954

Unit cell a=4.9040 b=4.9040 c=4.9040 alpha=60.00 beta=60.00 gamma=60.00
Closest atoms and distances in Å follow each position.
Fractional positions:
Ca  0.7500  0.7500  0.7500  4 Ga 3.00
Sc  0.2500  0.2500  0.2500  4 Ga 3.00
Ga  0.0000  0.0000  0.0000  4 Ca 3.00, 4 Sc 3.00

=====

[4]
Entry from the Alexandria database: a relaxed CaSc2Ga2 crystal (PBE).

Computed properties:
Polymorph energy (0 for the lowest one) in kJ/mol of formula units: 91.0
Energy of formation in eV per atom: -0.157
Theoretical density in kg/m³: 3429
E in eV per atom: -4.301

Unit cell a=5.0305 b=5.0305 c=6.2642 alpha=66.33 beta=66.33 gamma=90.00
Closest atoms and distances in Å follow each position.
Fractional positions:
Sc  0.6580  0.6580  0.6841  4 Ga 2.69
Sc  0.3420  0.3420  0.3159  4 Ga 2.69
Ga  0.7500  0.2500  0.5000  4 Sc 2.69
Ga  0.2500  0.7500  0.5000  4 Sc 2.69
Ca  0.0000  0.0000  0.0000  10 Sc 3.53-3.91, 8 Ga 3.60

=====

[5]
Entry from the Alexandria database: a relaxed Ca2ScGa crystal (PBE).

Computed properties:
Energy of formation in eV per atom: 0.149
Theoretical density in kg/m³: 2741
E in eV per atom: -3.191

Unit cell a=8.6768 b=8.6768 c=6.8904 alpha=50.98 beta=50.98 gamma=90.00
Closest atoms and distances in Å follow each position.
Fractional positions:
Ca  0.8750  0.9196  0.7500  2 Ga 2.92, 2 Ca 3.23
Ca  0.0804  0.6250  0.2500  2 Ga 2.92, 2 Ca 3.23
Ca  0.6696  0.1250  0.2500  2 Ga 2.92, 2 Ca 3.23
Ca  0.3750  0.3304  0.7500  2 Ga 2.92, 2 Ca 3.23
Ga  0.7500  0.2500  0.5000  4 Ca 2.92, 2 Sc 3.14
Ga  0.0000  0.0000  0.0000  4 Ca 2.92, 2 Sc 3.14
Sc  0.5000  0.5000  0.0000  2 Ga 3.14, 4 Ca 3.44
Sc  0.2500  0.7500  0.5000  2 Ga 3.14, 4 Ca 3.44

=====

[6]
Entry from the Alexandria database: a relaxed Ca2Sc2Ga crystal (PBE).

Computed properties:
Energy of formation in eV per atom: 0.043
Theoretical density in kg/m³: 2708
E in eV per atom: -3.895

Unit cell a=7.3380 b=7.3380 c=5.4619 alpha=90.00 beta=90.00 gamma=90.00
Closest atoms and distances in Å follow each position.
Fractional positions:
Ca  0.6689  0.8311  0.5000  6 Sc 3.32-3.60, 1 Ca 3.50
Ca  0.1689  0.6689  0.5000  6 Sc 3.32-3.60, 1 Ca 3.50
Ca  0.3311  0.1689  0.5000  6 Sc 3.32-3.60, 1 Ca 3.50
Ca  0.8311  0.3311  0.5000  6 Sc 3.32-3.60, 1 Ca 3.50
Sc  0.3500  0.8500  0.0000  2 Ga 2.79, 1 Sc 3.11
Sc  0.6500  0.1500  0.0000  2 Ga 2.79, 1 Sc 3.11
Sc  0.8500  0.6500  0.0000  2 Ga 2.79, 1 Sc 3.11
Sc  0.1500  0.3500  0.0000  2 Ga 2.79, 1 Sc 3.11
Ga  0.5000  0.5000  0.0000  4 Sc 2.79
Ga  0.0000  0.0000  0.0000  4 Sc 2.79

=====

Taking the records one at a time from the top gives magnetization values of 0.3 0.0 0.0 1.0 1.4 2.9 Bohr magnetons per cell.